Entry 1:
This record from Alexandria describes a geometry-optimized Na2TlCrH structure. The functional is PBE-GGA.

energy: -13.3 eV per formula unit

Lattice parameters (Å, degrees): 5.834 5.834 5.390 90.00 90.00 90.00
Space group P4/mmm (No. 123)
Unique sites:
Na 0.000 0.500 0.000 (multiplicity 2)
Tl 0.000 0.000 0.500 (multiplicity 1)
Cr 0.000 0.000 0.000 (multiplicity 1)
H 0.500 0.500 0.500 (multiplicity 1)

***

Entry 2:
This record from Alexandria describes a geometry-optimized Hf5NiPb2 structure. The functional is PBE-GGA.

energy: -63.2 eV per formula unit

Lattice parameters (Å, degrees): 7.253 11.356 4.256 90.00 90.00 90.00
Space group Pbam (No. 55)
Unique sites:
Hf 0.000 0.000 0.000 (multiplicity 2)
Hf 0.134 0.300 0.000 (multiplicity 4)
Hf 0.187 0.560 0.500 (multiplicity 4)
Ni 0.000 0.500 0.000 (multiplicity 2)
Pb 0.078 0.824 0.500 (multiplicity 4)

***

Entry 3:
This record from Alexandria describes a geometry-optimized CaSm3Sn12 structure. The functional is PBE-GGA.

energy: -71.6 eV per formula unit

Lattice parameters (Å, degrees): 4.736 4.736 19.102 90.00 90.00 90.00
Space group P4/mmm (No. 123)
Unique sites:
Ca 0.000 0.000 0.000 (multiplicity 1)
Sm 0.000 0.000 0.252 (multiplicity 2)
Sm 0.000 0.000 0.500 (multiplicity 1)
Sn 0.000 0.500 0.125 (multiplicity 4)
Sn 0.000 0.500 0.376 (multiplicity 4)
Sn 0.500 0.500 0.000 (multiplicity 1)
Sn 0.500 0.500 0.250 (multiplicity 2)
Sn 0.500 0.500 0.500 (multiplicity 1)

***

Entry 4:
This record from Alexandria describes a geometry-optimized LaMn2Br structure. The functional is PBE-GGA.

formation energy (no corrections): -0.08 eV per atom

Lattice parameters (Å, degrees): 3.442 3.400 7.924 90.00 102.49 90.00
Space group Pm (No. 6)
Unique sites:
La 0.000 0.000 0.000 (multiplicity 1)
Mn 0.363 0.500 0.724 (multiplicity 1)
Mn 0.792 0.000 0.581 (multiplicity 1)
Br 0.643 0.500 0.287 (multiplicity 1)

***

Entry 5:
This record from Alexandria describes a geometry-optimized Nd11Tl9Hg4 structure. The functional is PBE-GGA.

energy: -84.2 eV per formula unit

Lattice parameters (Å, degrees): 15.534 23.335 3.883 90.00 90.00 90.00
Space group Cmmm (No. 65)
Unique sites:
Nd 0.000 0.000 0.000 (multiplicity 2)
Nd 0.000 0.163 0.000 (multiplicity 4)
Nd 0.000 0.356 0.000 (multiplicity 4)
Nd 0.219 0.500 0.000 (multiplicity 4)
Nd 0.238 0.173 0.000 (multiplicity 8)
Tl 0.000 0.500 0.500 (multiplicity 2)
Tl 0.110 0.258 0.500 (multiplicity 8)
Tl 0.134 0.076 0.500 (multiplicity 8)
Hg 0.147 0.403 0.500 (multiplicity 8)

***

Entry 6:
This record from Alexandria describes a geometry-optimized ReClF2 structure. The functional is PBE-GGA.

formation energy (no corrections): -0.32 eV per atom

Lattice parameters (Å, degrees): 2.7475 2.7475 30.4641 90.00 90.00 120.00
Space group R-3m (No. 166, hexagonal axes)
Unique sites:
Re 0.0000 0.0000 0.0000 (multiplicity 3)
Cl 0.0000 0.0000 0.5000 (multiplicity 3)
F 0.0000 0.0000 0.3867 (multiplicity 6)

***

Entry 7:
This record from Alexandria describes a geometry-optimized SrTaO3 structure. The functional is PBE-GGA.

formation energy (no corrections): -2.72 eV per atom

Lattice parameters (Å, degrees): 3.415 7.752 10.978 90.00 90.00 90.00
Space group Amm2 (No. 38)
Unique sites:
Sr 0.000 0.000 0.000 (multiplicity 2)
Sr 0.000 0.000 0.429 (multiplicity 2)
Ta 0.500 0.170 0.735 (multiplicity 4)
O 0.000 0.000 0.776 (multiplicity 2)
O 0.000 0.199 0.178 (multiplicity 4)
O 0.500 0.000 0.588 (multiplicity 2)
O 0.500 0.228 0.905 (multiplicity 4)

***

Entry 8:
This record from Alexandria describes a geometry-optimized TbH2F6 structure. The functional is PBE-GGA.

energy: -44.8 eV per formula unit

Lattice parameters (Å, degrees): 9.762 7.716 6.141 90.00 116.98 90.00
Space group C2/c (No. 15)
Unique sites:
Tb 0.000 0.202 0.250 (multiplicity 4)
H 0.144 0.448 0.021 (multiplicity 8)
F 0.097 0.045 0.627 (multiplicity 8)
F 0.121 0.315 0.040 (multiplicity 8)
F 0.166 0.396 0.497 (multiplicity 8)

***

no.,calculated density (kg/m³),total magnetization (μB/f.u.)
1,2746,5.5
2,12939,0.0
3,7423,0.0
4,6028,0.8
5,9978,0.0
6,6495,0.9
7,7234,0.0
8,4430,1.1